Below is crystalline Fe2C at its relaxed geometry, with properties calculated at the PBEsol level.

Cell: 4.249 4.723 4.723 Å, 120.00 90.00 90.00°
Atoms (fractional coordinates):
C (0.000, 0.000, 0.000)
C (0.500, 0.667, 0.333)
C (0.500, 0.333, 0.667)
Fe (0.249, 0.664, 0.000)
Fe (0.249, 0.336, 0.336)
Fe (0.249, 0.000, 0.664)
Fe (0.751, 0.000, 0.336)
Fe (0.751, 0.664, 0.664)
Fe (0.751, 0.336, 0.000)

## Properties
**Total energy**: -9.188 eV per atom
**Crystal system**: trigonal
**Magnetic moment**: 9.46 μB per cell
**Volume**: 82.1 Å³/cell
**DOS at the Fermi energy**: 2.95 states/eV/f.u.